This record from the Alexandria database describes a geometry-optimized BaTl2Os structure. The functional is GGA-PBEsol.

Unit cell a=3.454 b=3.455 c=8.787 alpha=90.00 beta=113.14 gamma=90.00
Element x y z (fractional)
Ba1 0.500 0.500 0.000
Os1 0.000 0.500 0.500
Tl1 0.691 0.000 0.691
Tl2 0.309 0.000 0.309

total moment	0.0	μB per formula unit
E_form	0.4035	eV per atom